Computed, not measured: a relaxed structure of Zn3Br at the PBE level of DFT.

Results
- Mass density: 2.0 g cm⁻³
- ΔE to the lowest computed polymorph: 3.40 eV per formula unit
- Raw formation energy: 0.69 eV per atom

Unit cell a=6.0753 b=6.0753 c=6.0753 alpha=90.00 beta=90.00 gamma=90.00
Fractional coordinates of all 4 atoms:
Zn  0.5000  0.0000  0.0000
Zn  0.0000  0.5000  0.0000
Zn  0.0000  0.0000  0.5000
Br  0.0000  0.0000  0.0000

---

Computed, not measured: a relaxed structure of Zn2Br at the PBE level of DFT.

Results
- Mass density: 4.6 g cm⁻³
- ΔE to the lowest computed polymorph: 0.00 eV per formula unit
- Raw formation energy: -0.14 eV per atom

Unit cell a=6.3957 b=6.3957 c=7.6189 alpha=69.62 beta=69.62 gamma=31.95
Fractional coordinates of all 6 atoms:
Br  0.5126  0.5126  0.2416
Br  0.4874  0.4874  0.7584
Zn  0.1841  0.1841  0.1303
Zn  0.8159  0.8159  0.8697
Zn  0.2884  0.2884  0.3634
Zn  0.7116  0.7116  0.6366

---

Computed, not measured: a relaxed structure of Zn3Br at the PBE level of DFT.

Results
- Mass density: 5.2 g cm⁻³
- ΔE to the lowest computed polymorph: 1.25 eV per formula unit
- Raw formation energy: 0.15 eV per atom

Unit cell a=6.4666 b=6.4666 c=6.4666 alpha=145.22 beta=145.22 gamma=50.01
Fractional coordinates of all 4 atoms:
Zn  0.7500  0.2500  0.5000
Zn  0.2500  0.7500  0.5000
Zn  0.5000  0.5000  0.0000
Br  0.0000  0.0000  0.0000

---

- The lowest mass density belongs to which entry?
  number 1

---

- Which value of mass density does entry 3 give?
  5.2 g cm⁻³

---

- Which of these has the highest mass density?
  number 3

---

- What is the formula in the second record?
  Zn2Br